LiPu2Sb | Alexandria | PBE | relaxed; formation energy (no corrections) = -0.171 eV per atom; density of states at the Fermi level = 15.5 states/eV per cell; relative energy among the computed polymorphs = 0 meV/atom; density = 9.99 g/cm3; volume = 102.48 Å³ per cell
1.0
-0.329 -0.674 -5.199
4.316 -1.101 -2.784
0.638 -4.784 -2.074
Sb Pu Li
1 2 1
Direct
0.000 0.000 0.000
0.750 0.750 0.750
0.250 0.250 0.250
0.500 0.500 0.500